This record from Alexandria via LeMat-Bulk describes a geometry-optimized CaTlIn structure. The functional is GGA-PBE.

Cell: 3.794 9.038 5.035 Å, 90.00 90.00 88.45°
Sites, in units of the cell vectors:
1 Tl 0.827 0.312 0.309
2 Tl 0.150 0.464 0.809
3 Ca 0.476 0.120 0.810
4 Ca 0.501 0.656 0.310
5 In 0.965 0.799 0.810
6 In 0.013 0.977 0.310

Calculated values
- N(E_F): 2.89 states/eV/cell
- Formation energy from the elements: -321 meV per atom
- Crystal system: monoclinic
- Space group: P2_1/m (11)